TlCd2In2Cl7 PBE optimized geometry; formation energy (no corrections) = -960 meV per atom
1.0
5.303 0.025 -0.057
0.032 5.303 -0.057
2.423 2.420 13.138
Tl Cd In Cl
1 2 2 7
direct
0.000 0.000 0.000
0.592 0.592 0.800
0.408 0.408 0.200
0.769 0.769 0.363
0.231 0.231 0.637
0.500 0.500 0.000
0.361 0.361 0.395
0.639 0.639 0.605
0.920 0.435 0.190
0.435 0.920 0.190
0.565 0.080 0.810
0.080 0.565 0.810

---

BOs3Pt PBE optimized geometry; energy of formation from the pure elements = 0.41 eV/atom; relative energy among the computed polymorphs = 0 meV/atom
1.0
-0.851 2.898 2.748
-3.969 -0.925 -0.254
0.443 -2.724 3.010
B Os Pt
1 3 1
direct
0.000 0.000 0.000
0.000 0.500 0.000
0.000 0.000 0.500
0.500 0.000 0.000
0.500 0.500 0.500